Nd4UCo5: relaxed, PBE.

The space group is I4mm (No. 107) and the conventional cell measures 9.258, 9.258 and 4.930 Å, with angles of 90.00, 90.00 and 90.00 degrees. The distinct sites, in fractional coordinates, are Nd at (0.000, 0.288, 0.000), U at (0.000, 0.000, 0.400), Co at (0.000, 0.000, 0.885) and Co at (0.172, 0.172, 0.510).

The formation energy is -11 meV/atom. The calculation puts the magnetization at 0.000 μB per atom.



NdUCo3: relaxed, PBE.

The space group is P2_1/c (No. 14) and the conventional cell measures 8.436, 5.450 and 9.453 Å, with angles of 90.00, 123.06 and 90.00 degrees. The distinct sites, in fractional coordinates, are Nd at (0.101, 0.065, 0.224), U at (0.401, 0.733, 0.119), Co at (0.151, 0.543, 0.091), Co at (0.340, 0.577, 0.388) and Co at (0.361, 0.227, 0.096).

The formation energy is -99 meV/atom. The calculation puts the magnetization at 0.000 μB per atom.



NdUCo10: relaxed, PBE.

The space group is Pmmm (No. 47) and the conventional cell measures 4.018, 4.893 and 8.441 Å, with angles of 90.00, 90.00 and 90.00 degrees. The distinct sites, in fractional coordinates, are Nd at (0.000, 0.000, 0.000), U at (0.000, 0.500, 0.500), Co at (0.000, 0.000, 0.347), Co at (0.000, 0.500, 0.199), Co at (0.500, 0.000, 0.500), Co at (0.500, 0.249, 0.253) and Co at (0.500, 0.500, 0.000).

The formation energy is -74 meV/atom. The calculation puts the magnetization at 0.915 μB per atom.



Nd2V2Co15: relaxed, PBE.

The space group is R-3m (No. 166, hexagonal axes) and the conventional cell measures 8.3994, 8.3994 and 12.2331 Å, with angles of 90.00, 90.00 and 120.00 degrees. The distinct sites, in fractional coordinates, are Nd at (0.0000, 0.0000, 0.1519), V at (0.0000, 0.0000, 0.4045), Co at (0.0000, 0.2892, 0.5000), Co at (0.0000, 0.5000, 0.0000) and Co at (0.0061, 0.5031, 0.3458).

The formation energy is -75 meV/atom. The calculation puts the magnetization at 0.957 μB per atom.



NdVCo2: relaxed, PBE.

The space group is P4/mmm (No. 123) and the conventional cell measures 2.986, 2.986 and 7.033 Å, with angles of 90.00, 90.00 and 90.00 degrees. The distinct sites, in fractional coordinates, are Nd at (0.000, 0.000, 0.000), V at (0.000, 0.000, 0.500) and Co at (0.500, 0.500, 0.319).

The formation energy is 43 meV/atom. The calculation puts the magnetization at 0.096 μB per atom.



NdVCo2: relaxed, PBE.

The space group is R-3m (No. 166, hexagonal axes) and the conventional cell measures 3.9855, 3.9855 and 15.3754 Å, with angles of 90.00, 90.00 and 120.00 degrees. The distinct sites, in fractional coordinates, are Nd at (0.0000, 0.0000, 0.0000), V at (0.0000, 0.0000, 0.5000) and Co at (0.0000, 0.0000, 0.2006).

The formation energy is -28 meV/atom. The calculation puts the magnetization at 0.000 μB per atom.